Entry one
Zn2SnO2 | PBE | optimized geometry

ρ   5817 kg/m³

Cell lengths 6.9844, 6.9844, 3.2951 Å; angles 90.00, 90.00, 90.00 degrees
Last column: nearest neighbours and their distance in Å.
Fractional coordinates of all 10 atoms:
Zn 0.1195 0.3805 0.0000  2 O 1.99
Zn 0.3805 0.8805 0.0000  2 O 1.99
Zn 0.6195 0.1195 0.0000  2 O 1.99
Zn 0.8805 0.6195 0.0000  2 O 1.99
Sn 0.0000 0.0000 0.5000  4 O 2.48
Sn 0.5000 0.5000 0.5000  4 O 2.48
O 0.2320 0.2680 0.5000  2 Zn 1.99
O 0.2680 0.7680 0.5000  2 Zn 1.99
O 0.7320 0.2320 0.5000  2 Zn 1.99
O 0.7680 0.7320 0.5000  2 Zn 1.99



Entry two
Zn2SnO2 | PBE | optimized geometry

ρ   6784 kg/m³

Cell lengths 3.9117, 3.9117, 9.0070 Å; angles 90.00, 90.00, 90.00 degrees
Last column: nearest neighbours and their distance in Å.
Fractional coordinates of all 10 atoms:
Zn 0.0000 0.0000 0.1543  4 O 2.14
Zn 0.0000 0.0000 0.8457  4 O 2.14
Zn 0.5000 0.5000 0.3457  4 O 2.14
Zn 0.5000 0.5000 0.6543  4 O 2.14
Sn 0.0000 0.0000 0.5000  8 O 2.98, 10 Zn 3.10-3.11
Sn 0.5000 0.5000 0.0000  8 O 2.98, 10 Zn 3.10-3.11
O 0.0000 0.5000 0.2500  4 Zn 2.14
O 0.0000 0.5000 0.7500  4 Zn 2.14
O 0.5000 0.0000 0.2500  4 Zn 2.14
O 0.5000 0.0000 0.7500  4 Zn 2.14



Which one is most stable, and which one is least stable? entry two is the most stable of them, while entry one is the least stable.